The following is a PBE calculation of a geometry-optimized RbLiTcIr structure, from OQMD.

The space group is F-43m (No. 216) and the conventional cell measures 6.7505, 6.7505 and 6.7505 Å, with angles of 90.00, 90.00 and 90.00 degrees. The asymmetric unit holds Rb at (0.0000, 0.0000, 0.0000), Li at (0.0000, 0.0000, 0.5000), Tc at (0.2500, 0.2500, 0.2500) and Ir at (0.2500, 0.2500, 0.7500).

The energy above the lowest structure with this stoichiometry comes out at 0.546 eV/atom. The uncorrected energy is -62.093 eV/cell. The calculation puts the magnetization at 13.91 μB/cell.

The following is a PBE calculation of a geometry-optimized Rb2Ta2Cu structure, from OQMD.

The space group is I4_1/amd (No. 141, origin choice 2) and the conventional cell measures 6.0472, 6.0472 and 16.0250 Å, with angles of 90.00, 90.00 and 90.00 degrees. The asymmetric unit holds Rb at (0.0000, 0.0000, 0.0000), Ta at (0.0000, 0.2500, 0.2219) and Cu at (0.0000, 0.2500, 0.3750).

The uncorrected energy is -79.406 eV/cell. The calculation puts the magnetization at 15.15 μB/cell.

The following is a PBE calculation of a geometry-optimized Tc structure, from OQMD.

The space group is R-3m (No. 166, hexagonal axes) and the conventional cell measures 2.7665, 2.7665 and 6.4790 Å, with angles of 90.00, 90.00 and 120.00 degrees. The asymmetric unit holds Tc at (0.0000, 0.0000, 0.0000).

The energy above the lowest structure with this stoichiometry comes out at 0.099 eV/atom. The uncorrected energy is -30.786 eV/cell. The calculation puts the magnetization at 0.01 μB/cell.